Record 1
VASP calculation (GGA-PBEsol) on an optimized crystal structure of BaCa2Mn.

Unit cell a=3.7925 b=3.7925 c=9.7775 alpha=90.00 beta=90.00 gamma=90.00
With the nearest neighbours (Å) after each atom.
Element x y z (fractional)
Ba (0.0000, 0.0000, 0.0000)  4 Ba 3.79, 8 Ca 4.14
Ca (0.5000, 0.5000, 0.3227)  4 Mn 3.19, 1 Ca 3.47
Ca (0.5000, 0.5000, 0.6773)  4 Mn 3.19, 1 Ca 3.47
Mn (0.0000, 0.0000, 0.5000)  8 Ca 3.19

Summary:
* ΔE_f: 386.4 meV per atom
* symmetry: P4/mmm (123)



Record 2
VASP calculation (GGA-PBEsol) on an optimized crystal structure of BaCa2Mn.

Unit cell a=5.0099 b=5.0099 c=5.6674 alpha=90.00 beta=90.00 gamma=90.00
With the nearest neighbours (Å) after each atom.
Element x y z (fractional)
Ba (0.0000, 0.0000, 0.0000)  4 Mn 3.54, 8 Ca 3.78
Ca (0.0000, 0.5000, 0.5000)  4 Ca 3.54, 4 Ba 3.78, 4 Mn 3.78
Ca (0.5000, 0.0000, 0.5000)  4 Ca 3.54, 4 Ba 3.78, 4 Mn 3.78
Mn (0.5000, 0.5000, 0.0000)  4 Ba 3.54, 8 Ca 3.78

Summary:
* ΔE_f: 526.7 meV per atom
* symmetry: P4/mmm (123)



Record 3
VASP calculation (GGA-PBEsol) on an optimized crystal structure of BaCaMn.

Unit cell a=5.4200 b=5.4200 c=5.4200 alpha=60.00 beta=60.00 gamma=60.00
With the nearest neighbours (Å) after each atom.
Element x y z (fractional)
Ba (0.0000, 0.0000, 0.0000)  4 Mn 3.32
Ca (0.5000, 0.5000, 0.5000)  4 Mn 3.32
Mn (0.2500, 0.2500, 0.2500)  4 Ba 3.32, 4 Ca 3.32

Summary:
* ΔE_f: 722.5 meV per atom
* symmetry: F-43m (216)



Record 4
VASP calculation (GGA-PBEsol) on an optimized crystal structure of BaCaMn.

Unit cell a=5.5566 b=5.5566 c=3.7695 alpha=90.00 beta=90.00 gamma=120.00
With the nearest neighbours (Å) after each atom.
Element x y z (fractional)
Ba (0.0000, 0.0000, 0.0000)  6 Mn 3.57-3.89, 6 Ca 3.62-3.84, 2 Ba 3.77
Ca (0.3333, 0.6667, 0.5576)  3 Mn 3.25, 3 Ba 3.62
Mn (0.6667, 0.3333, 0.4158)  3 Ca 3.25, 3 Ba 3.57

Summary:
* ΔE_f: 681.0 meV per atom
* symmetry: P3m1 (156)



Record 5
VASP calculation (GGA-PBEsol) on an optimized crystal structure of BaCaMn2.

Unit cell a=3.8677 b=3.8677 c=7.3707 alpha=90.00 beta=90.00 gamma=90.00
With the nearest neighbours (Å) after each atom.
Element x y z (fractional)
Ba (0.0000, 0.0000, 0.0000)  8 Mn 3.56, 2 Ca 3.69, 4 Ba 3.87
Ca (0.0000, 0.0000, 0.5000)  8 Mn 3.07
Mn (0.5000, 0.5000, 0.3101)  1 Mn 2.80, 4 Ca 3.07
Mn (0.5000, 0.5000, 0.6899)  1 Mn 2.80, 4 Ca 3.07

Summary:
* ΔE_f: 759.7 meV per atom
* symmetry: P4/mmm (123)



Record 6
VASP calculation (GGA-PBEsol) on an optimized crystal structure of BaCa2MnSe.

Unit cell a=5.9457 b=5.9457 c=4.6826 alpha=90.00 beta=90.00 gamma=90.00
With the nearest neighbours (Å) after each atom.
Element x y z (fractional)
Ba (0.0000, 0.0000, 0.0000)  2 Mn 2.34
Ca (0.0000, 0.5000, 0.0000)  2 Ba 2.97
Ca (0.5000, 0.0000, 0.0000)  2 Ba 2.97
Mn (0.0000, 0.0000, 0.5000)  2 Ba 2.34
Se (0.5000, 0.5000, 0.5000)  8 Ca 3.78, 4 Mn 4.20

Summary:
* ΔE_f (raw): 1.08 eV/atom
* symmetry: P4/mmm (123)



Record 7
VASP calculation (GGA-PBEsol) on an optimized crystal structure of BaCa2Mo.

Unit cell a=6.9977 b=6.9977 c=6.9977 alpha=149.20 beta=130.71 gamma=59.26
With the nearest neighbours (Å) after each atom.
Element x y z (fractional)
Ba (0.0000, 0.0000, 0.0000)  2 Mo 3.11
Ca (0.3004, 0.8004, 0.5000)  4 Mo 3.46, 4 Ca 3.72-3.78, 2 Ba 3.80
Ca (0.6026, 0.6026, 0.0000)  2 Mo 2.99
Mo (0.7948, 0.2948, 0.5000)  2 Ca 2.99, 2 Ba 3.11

Summary:
* ΔE_f: 823.5 meV per atom
* symmetry: Imm2 (44)



Record 8
VASP calculation (GGA-PBEsol) on an optimized crystal structure of BaCaMo2.

Unit cell a=3.0217 b=5.1679 c=6.8054 alpha=90.00 beta=93.14 gamma=90.00
With the nearest neighbours (Å) after each atom.
Element x y z (fractional)
Ba (0.0000, 0.0000, 0.0000)  2 Ba 3.02
Ca (0.0000, 0.0000, 0.5000)  2 Ca 3.02, 8 Mo 3.04-3.33
Mo (0.3768, 0.5000, 0.3451)  1 Mo 2.20
Mo (0.6232, 0.5000, 0.6549)  1 Mo 2.20

Summary:
* ΔE_f: 978.3 meV per atom
* symmetry: P2/m (10)



Record 9
VASP calculation (GGA-PBEsol) on an optimized crystal structure of Ba2CaMo.

Unit cell a=5.8027 b=5.8027 c=5.8027 alpha=60.00 beta=60.00 gamma=60.00
With the nearest neighbours (Å) after each atom.
Element x y z (fractional)
Ba (0.0000, 0.0000, 0.0000)  4 Ba 3.55, 4 Ca 3.55
Ba (0.2500, 0.2500, 0.2500)  4 Mo 3.55, 4 Ba 3.55
Ca (0.7500, 0.7500, 0.7500)  4 Mo 3.55, 4 Ba 3.55
Mo (0.5000, 0.5000, 0.5000)  4 Ca 3.55, 4 Ba 3.55

Summary:
* ΔE_f: 917.3 meV per atom
* symmetry: F-43m (216)



Record 10
VASP calculation (GGA-PBEsol) on an optimized crystal structure of BaCa2Mo.

Unit cell a=3.7366 b=3.7366 c=9.5918 alpha=90.00 beta=90.00 gamma=90.00
With the nearest neighbours (Å) after each atom.
Element x y z (fractional)
Ba (0.0000, 0.0000, 0.0000)  4 Mo 3.37, 1 Ca 3.72, 4 Ba 3.74
Ca (0.0000, 0.0000, 0.6118)  4 Mo 3.10
Ca (0.5000, 0.5000, 0.3339)  8 Ca 3.74-3.75, 4 Ba 4.15
Mo (0.5000, 0.5000, 0.7814)  4 Ca 3.10, 4 Ba 3.37

Summary:
* ΔE_f: 775.0 meV per atom
* symmetry: P4mm (99)



Record 11
VASP calculation (GGA-PBEsol) on an optimized crystal structure of BaCa2Mo.

Unit cell a=6.6038 b=6.6038 c=3.5524 alpha=101.02 beta=101.02 gamma=118.10
With the nearest neighbours (Å) after each atom.
Element x y z (fractional)
Ba (0.0000, 0.0000, 0.0000)  2 Mo 3.40, 4 Ca 3.44, 2 Ba 3.55
Ca (0.0000, 0.5000, 0.5000)  4 Ca 3.40-3.55, 2 Mo 3.44, 2 Ba 3.44
Ca (0.5000, 0.0000, 0.5000)  4 Ca 3.40-3.55, 2 Mo 3.44, 2 Ba 3.44
Mo (0.5000, 0.5000, 0.0000)  2 Ba 3.40, 4 Ca 3.44, 2 Mo 3.55

Summary:
* ΔE_f: 978.4 meV per atom
* symmetry: C2/m (12)